The following is a DFT calculation (GGA-PBE) of a geometry-optimized Ca2ZrTaPt structure.

a b c (Å): 5.516 5.516 4.852
angles (deg): 90.00 90.00 90.00
Space group P4/mmm (No. 123)
Unique sites:
Ca 0.000 0.500 0.000
Zr 0.000 0.000 0.000
Ta 0.500 0.500 0.500
Pt 0.000 0.000 0.500

Results
formation enthalpy at 0 K: 1.393 eV/atom


The following is a DFT calculation (GGA-PBE) of a geometry-optimized Ac2Ho7Er4 structure.

a b c (Å): 6.1424 6.1424 13.3522
angles (deg): 90.00 90.00 120.00
Space group P-31m (No. 162)
Unique sites:
Ac 0.3333 0.6667 0.0000
Ho 0.0000 0.0000 0.0000
Ho 0.0000 0.3537 0.7786
Er 0.0000 0.0000 0.3960
Er 0.3333 0.6667 0.5000

Results
formation enthalpy at 0 K: 0.244 eV/atom


The following is a DFT calculation (GGA-PBE) of a geometry-optimized Sm2SiBr2 structure.

a b c (Å): 11.045 8.290 7.393
angles (deg): 90.00 109.40 90.00
Space group P2_1/c (No. 14)
Unique sites:
Sm 0.007 0.122 0.273
Sm 0.323 0.131 0.068
Si 0.162 0.136 0.673
Br 0.166 0.626 0.657
Br 0.474 0.712 0.594

Results
final energy: -96.71 eV/cell


The following is a DFT calculation (GGA-PBE) of a geometry-optimized KBaOF2 structure.

a b c (Å): 5.110 5.110 4.578
angles (deg): 90.00 90.00 90.00
Space group P4/mmm (No. 123)
Unique sites:
K 0.000 0.000 0.000
Ba 0.500 0.500 0.500
O 0.500 0.500 0.000
F 0.000 0.500 0.500

Results
final energy: -23.67 eV/cell


The following is a DFT calculation (GGA-PBE) of a geometry-optimized La2FeSe structure.

a b c (Å): 4.0916 4.0916 22.6858
angles (deg): 90.00 90.00 120.00
Space group R-3m (No. 166, hexagonal axes)
Unique sites:
La 0.0000 0.0000 0.2446
Fe 0.0000 0.0000 0.5000
Se 0.0000 0.0000 0.0000

Results
final energy: -73.35 eV/cell


The following is a DFT calculation (GGA-PBE) of a geometry-optimized PrLuMg4 structure.

a b c (Å): 8.577 8.577 8.577
angles (deg): 90.00 90.00 90.00
Space group F-43m (No. 216)
Unique sites:
Pr 0.000 0.000 0.000
Lu 0.250 0.250 0.750
Mg 0.125 0.125 0.375

Results
formation enthalpy at 0 K: -0.067 eV/atom


The following is a DFT calculation (GGA-PBE) of a geometry-optimized HfHg2Sb structure.

a b c (Å): 3.2781 3.2781 33.5175
angles (deg): 90.00 90.00 120.00
Space group R-3m (No. 166, hexagonal axes)
Unique sites:
Hf 0.0000 0.0000 0.0000
Hg 0.0000 0.0000 0.0850
Sb 0.0000 0.0000 0.5000

Results
final energy: -39.77 eV/cell


The following is a DFT calculation (GGA-PBE) of a geometry-optimized Be2ReHg structure.

a b c (Å): 3.013 3.102 5.785
angles (deg): 90.00 90.27 90.00
Space group P2/m (No. 10)
Unique sites:
Be 0.001 0.000 0.181
Re 0.500 0.500 0.000
Hg 0.500 0.500 0.500

Results
formation enthalpy at 0 K: 0.221 eV/atom


The following is a DFT calculation (GGA-PBE) of a geometry-optimized YNb2Bi2 structure.

a b c (Å): 4.018 4.018 15.652
angles (deg): 90.00 90.00 90.00
Space group I4/mmm (No. 139)
Unique sites:
Y 0.000 0.000 0.000
Nb 0.000 0.500 0.250
Bi 0.000 0.000 0.390

Results
formation enthalpy at 0 K: -0.078 eV/atom


The following is a DFT calculation (GGA-PBE) of a geometry-optimized La2YTe structure.

a b c (Å): 4.811 4.811 10.643
angles (deg): 90.00 90.00 90.00
Space group I-4m2 (No. 119)
Unique sites:
La 0.000 0.000 0.000
La 0.000 0.500 0.250
Y 0.000 0.000 0.500
Te 0.000 0.500 0.750

Results
final energy: -43.07 eV/cell


The following is a DFT calculation (GGA-PBE) of a geometry-optimized PrErTh14 structure.

a b c (Å): 11.613 7.177 12.455
angles (deg): 90.00 90.00 90.00
Space group Amm2 (No. 38)
Unique sites:
Pr 0.000 0.000 0.000
Er 0.000 0.000 0.499
Th 0.000 0.249 0.246
Th 0.250 0.000 0.665
Th 0.251 0.249 0.415
Th 0.252 0.000 0.165
Th 0.500 0.000 0.332
Th 0.500 0.000 0.831
Th 0.500 0.249 0.581

Results
formation enthalpy at 0 K: 0.039 eV/atom


The following is a DFT calculation (GGA-PBE) of a geometry-optimized Cs3CeSb2Te6 structure.

a b c (Å): 8.054 13.949 9.282
angles (deg): 90.00 106.84 90.00
Space group C2/m (No. 12)
Unique sites:
Cs 0.000 0.000 0.000
Cs 0.000 0.335 0.000
Ce 0.000 0.500 0.500
Sb 0.000 0.167 0.500
Te 0.221 0.000 0.688
Te 0.234 0.329 0.689

Results
final energy: -90.10 eV/cell


The following is a DFT calculation (GGA-PBE) of a geometry-optimized Nd2Ho3Er6Tm structure.

a b c (Å): 6.128 10.605 11.712
angles (deg): 90.00 100.00 90.00
Space group C2/m (No. 12)
Unique sites:
Nd 0.000 0.167 0.000
Ho 0.000 0.000 0.500
Ho 0.000 0.334 0.500
Er 0.248 0.500 0.747
Er 0.249 0.166 0.747
Tm 0.000 0.500 0.000

Results
formation enthalpy at 0 K: 0.020 eV/atom


The following is a DFT calculation (GGA-PBE) of a geometry-optimized YTcRh4 structure.

a b c (Å): 7.379 7.379 7.379
angles (deg): 90.00 90.00 90.00
Space group F-43m (No. 216)
Unique sites:
Y 0.000 0.000 0.000
Tc 0.250 0.250 0.750
Rh 0.124 0.124 0.376

Results
formation enthalpy at 0 K: -0.085 eV/atom


The following is a DFT calculation (GGA-PBE) of a geometry-optimized LaSiRu2 structure.

a b c (Å): 4.0801 4.0801 15.9349
angles (deg): 90.00 90.00 120.00
Space group R-3m (No. 166, hexagonal axes)
Unique sites:
La 0.0000 0.0000 0.0000
Si 0.0000 0.0000 0.5000
Ru 0.0000 0.0000 0.2105

Results
final energy: -90.81 eV/cell


The following is a DFT calculation (GGA-PBE) of a geometry-optimized HRu2Br structure.

a b c (Å): 4.881 4.881 9.237
angles (deg): 90.00 90.00 90.00
Space group I-42d (No. 122)
Unique sites:
H 0.000 0.000 0.000
Ru 0.127 0.250 0.125
Br 0.000 0.000 0.500

Results
final energy: -85.05 eV/cell


The following is a DFT calculation (GGA-PBE) of a geometry-optimized Pr3NdRh structure.

a b c (Å): 9.986 10.217 6.799
angles (deg): 90.00 111.58 90.00
Space group C2/m (No. 12)
Unique sites:
Pr 0.069 0.000 0.273
Pr 0.183 0.250 0.730
Nd 0.068 0.500 0.272
Rh 0.249 0.500 0.001

Results
formation enthalpy at 0 K: -0.192 eV/atom


The following is a DFT calculation (GGA-PBE) of a geometry-optimized Ca6Ho structure.

a b c (Å): 8.915 8.915 8.915
angles (deg): 90.00 90.00 90.00
Space group Im-3m (No. 229)
Unique sites:
Ca 0.000 0.250 0.500
Ho 0.000 0.000 0.000

Results
formation enthalpy at 0 K: 1.218 eV/atom


The following is a DFT calculation (GGA-PBE) of a geometry-optimized PaNiHg structure.

a b c (Å): 3.377 4.332 8.497
angles (deg): 90.00 101.39 90.00
Space group P2_1/m (No. 11)
Unique sites:
Pa 0.092 0.250 0.184
Ni 0.459 0.250 0.918
Hg 0.295 0.250 0.589

Results
formation enthalpy at 0 K: -0.262 eV/atom


The following is a DFT calculation (GGA-PBE) of a geometry-optimized Ba2AlW structure.

a b c (Å): 3.671 3.671 9.669
angles (deg): 90.00 90.00 90.00
Space group P4mm (No. 99)
Unique sites:
Ba 0.000 0.000 0.000
Ba 0.500 0.500 0.421
Al 0.500 0.500 0.745
W 0.000 0.000 0.679

Results
formation enthalpy at 0 K: 0.517 eV/atom


The following is a DFT calculation (GGA-PBE) of a geometry-optimized PrUNi4 structure.

a b c (Å): 7.213 7.213 7.213
angles (deg): 90.00 90.00 90.00
Space group F-43m (No. 216)
Unique sites:
Pr 0.000 0.000 0.000
U 0.250 0.250 0.750
Ni 0.124 0.124 0.376

Results
formation enthalpy at 0 K: -0.148 eV/atom


The following is a DFT calculation (GGA-PBE) of a geometry-optimized Tb2SmYTl2 structure.

a b c (Å): 5.151 10.066 6.830
angles (deg): 90.00 90.00 90.00
Space group Pmc2_1 (No. 26)
Unique sites:
Tb 0.000 0.043 0.000
Tb 0.500 0.184 0.281
Sm 0.500 0.459 0.911
Y 0.000 0.311 0.632
Tl 0.000 0.365 0.169
Tl 0.500 0.135 0.747

Results
formation enthalpy at 0 K: -0.281 eV/atom


The following is a DFT calculation (GGA-PBE) of a geometry-optimized K6AgCl8 structure.

a b c (Å): 13.9490 13.9490 12.0584
angles (deg): 90.00 90.00 120.00
Space group R-3 (No. 148, hexagonal axes)
Unique sites:
K 0.0017 0.1953 0.1579
Ag 0.0000 0.0000 0.5000
Cl 0.0000 0.0000 0.3057
Cl 0.9995 0.2332 0.9034

Results
final energy: -139.74 eV/cell


The following is a DFT calculation (GGA-PBE) of a geometry-optimized GaAg5Au6 structure.

a b c (Å): 4.178 7.687 7.703
angles (deg): 65.72 74.48 74.36
Space group P-1 (No. 2)
Unique sites:
Ga 0.000 0.000 0.000
Ag 0.000 0.500 0.500
Ag 0.330 0.170 0.170
Ag 0.338 0.663 0.663
Au 0.165 0.080 0.590
Au 0.165 0.590 0.080
Au 0.500 0.242 0.757

Results
formation enthalpy at 0 K: -0.054 eV/atom